Version P
Below is a relaxed Ce3OsRh crystal, with properties calculated at the GGA-PBE level.

Properties
- total magnetic moment (μB per formula unit) = 0.00

Cell lengths 8.5123, 7.8009, 7.2124 Å; angles 90.00, 101.04, 90.00 degrees
Closest atoms and distances in Å follow each position.
Space group P2_1/c (No. 14)
Symmetry-distinct sites (fractional):
1 Ce 0.0737 0.0031 0.2040  3 Rh 2.75-2.83, 1 Os 2.95, 1 Ce 2.97
2 Ce 0.2936 0.1394 0.6498  3 Os 2.78-3.06
3 Ce 0.3594 0.7002 0.4655  1 Rh 2.81, 4 Os 2.99-3.10
4 Os 0.4242 0.0494 0.2952  8 Ce 2.78-3.10, 1 Os 3.09
5 Rh 0.0675 0.6746 0.0372  4 Ce 2.75-2.83, 1 Rh 2.96

Version Q
Below is a relaxed Ce3OsRh crystal, with properties calculated at the GGA-PBE level.

Properties
- total magnetic moment (μB per formula unit) = 0.53

Cell lengths 7.6399, 3.9649, 8.1648 Å; angles 90.00, 110.02, 90.00 degrees
Closest atoms and distances in Å follow each position.
Space group P2_1/m (No. 11)
Symmetry-distinct sites (fractional):
1 Ce 0.0799 0.2500 0.2326  2 Os 2.79, 2 Rh 2.86
2 Ce 0.3560 0.2500 0.9571  1 Rh 2.75, 2 Ce 2.86, 2 Os 3.00
3 Ce 0.3737 0.7500 0.6124  2 Rh 2.93, 3 Os 2.94-3.07
4 Os 0.3337 0.7500 0.2255  7 Ce 2.79-3.07
5 Rh 0.0966 0.2500 0.6256  5 Ce 2.75-2.93, 2 Rh 2.87

Most stable = version P

Version P
Below is a relaxed Ce6OsRu crystal, with properties calculated at the GGA-PBE level.

Properties
- total magnetic moment (μB per formula unit) = 4.59

Cell lengths 6.4451, 6.4454, 7.4583 Å; angles 64.47, 64.45, 60.04 degrees
Closest atoms and distances in Å follow each position.
Space group P-1 (No. 2)
Symmetry-distinct sites (fractional):
1 Ce 0.0581 0.2518 0.2499  1 Ru 2.75, 1 Os 2.76
2 Ce 0.2479 0.0603 0.7498  1 Ru 2.75, 1 Os 2.76
3 Ce 0.4395 0.5586 0.2500  1 Ru 2.75, 1 Os 2.76
4 Os 0.5000 0.0000 0.0000  6 Ce 2.76
5 Ru 0.0000 0.5000 0.5000  6 Ce 2.75

Version Q
Below is a relaxed Ce6OsRu crystal, with properties calculated at the GGA-PBE level.

Properties
- total magnetic moment (μB per formula unit) = 0.01

Cell lengths 6.2934, 11.3554, 6.2934 Å; angles 90.00, 116.84, 90.00 degrees
Closest atoms and distances in Å follow each position.
Space group C2/m (No. 12)
Symmetry-distinct sites (fractional):
1 Ce 0.2454 0.2073 0.2480  1 Ru 2.86, 1 Os 2.89
2 Ce 0.2495 0.5000 0.2470  1 Ru 2.67, 1 Os 2.69
3 Os 0.0000 0.5000 0.5000  6 Ce 2.69-2.89
4 Ru 0.0000 0.0000 0.0000  6 Ce 2.67-2.86

Most stable = version P

Version P
Below is a relaxed Ce4OsRu crystal, with properties calculated at the GGA-PBE level.

Properties
- total magnetic moment (μB per formula unit) = 0.57

Cell lengths 8.2959, 11.8856, 6.0181 Å; angles 90.00, 102.84, 90.00 degrees
Closest atoms and distances in Å follow each position.
Space group C2/c (No. 15)
Symmetry-distinct sites (fractional):
1 Ce 0.1182 0.1802 0.0334  2 Ru 2.75-2.82, 1 Ce 2.84, 1 Os 2.94
2 Ce 0.1819 0.4167 0.4237  2 Os 2.77-2.94, 1 Ru 3.09
3 Os 0.0000 0.3773 0.7500  6 Ce 2.77-2.94
4 Ru 0.0000 0.0026 0.7500  4 Ce 2.75-2.82, 2 Ru 3.01

Version Q
Below is a relaxed Ce4OsRu crystal, with properties calculated at the GGA-PBE level.

Properties
- total magnetic moment (μB per formula unit) = 0.51

Cell lengths 8.3590, 11.0483, 13.1472 Å; angles 90.00, 90.00, 90.00 degrees
Closest atoms and distances in Å follow each position.
Space group Fddd (No. 70, origin choice 2)
Symmetry-distinct sites (fractional):
1 Ce 0.1160 0.3666 0.0122  1 Ru 2.71, 1 Os 2.82, 1 Ce 2.97
2 Os 0.1250 0.1250 0.1250  8 Ce 2.82-3.05
3 Ru 0.1250 0.1250 0.6250  4 Ce 2.71

Most stable = version P

Version P
Below is a relaxed Ce8OsRu2 crystal, with properties calculated at the GGA-PBE level.

Properties
- total magnetic moment (μB per formula unit) = 0.02

Cell lengths 17.6338, 4.6746, 6.7623 Å; angles 90.00, 111.72, 90.00 degrees
Closest atoms and distances in Å follow each position.
Space group C2/m (No. 12)
Symmetry-distinct sites (fractional):
1 Ce 0.0089 0.0000 0.2595  1 Ru 2.75, 2 Os 2.88, 2 Ce 3.06
2 Ce 0.0918 0.5000 0.9969  2 Ru 2.90, 2 Ce 3.06, 1 Os 3.14
3 Ce 0.1733 0.5000 0.5310  3 Ru 2.70-2.98, 2 Ce 2.92, 1 Os 2.98
4 Ce 0.1953 0.0000 0.8058  2 Ce 2.92, 1 Ru 3.26
5 Os 0.0000 0.5000 0.5000  8 Ce 2.88-3.14
6 Ru 0.1636 0.0000 0.2504  6 Ce 2.70-2.98

Version Q
Below is a relaxed Ce8OsRu2 crystal, with properties calculated at the GGA-PBE level.

Properties
- total magnetic moment (μB per formula unit) = 2.40

Cell lengths 7.8980, 12.5994, 5.7642 Å; angles 90.00, 110.95, 90.00 degrees
Closest atoms and distances in Å follow each position.
Space group C2/m (No. 12)
Symmetry-distinct sites (fractional):
1 Ce 0.0000 0.2181 0.0000  1 Os 2.75, 2 Ru 3.04
2 Ce 0.1256 0.5000 0.8278  1 Os 2.76
3 Ce 0.2092 0.1100 0.5858  2 Ce 2.77-3.09, 2 Ru 2.78-2.80
4 Os 0.0000 0.0000 0.0000  4 Ce 2.75-2.76
5 Ru 0.0000 0.2956 0.5000  6 Ce 2.78-3.04

Most stable = version P

Version P
Below is a relaxed Ce4SbOs crystal, with properties calculated at the GGA-PBE level.

Properties
- total magnetic moment (μB per formula unit) = 2.19

Cell lengths 15.8235, 5.5823, 7.5168 Å; angles 90.00, 106.58, 90.00 degrees
Closest atoms and distances in Å follow each position.
Space group C2/c (No. 15)
Symmetry-distinct sites (fractional):
1 Ce 0.0779 0.0889 0.4735  2 Ce 2.79-2.91, 1 Os 2.82
2 Ce 0.1738 0.3413 0.1313  2 Os 2.74-2.88, 1 Ce 2.91
3 Sb 0.0000 0.4115 0.7500  10 Ce 3.25-3.42
4 Os 0.2500 0.2500 0.5000  6 Ce 2.74-2.88

Version Q
Below is a relaxed Ce4SbOs crystal, with properties calculated at the GGA-PBE level.

Properties
- total magnetic moment (μB per formula unit) = 2.66

Cell lengths 5.6982, 6.5652, 8.6429 Å; angles 90.00, 102.51, 90.00 degrees
Closest atoms and distances in Å follow each position.
Space group P2_1/m (No. 11)
Symmetry-distinct sites (fractional):
1 Ce 0.1559 0.2500 0.0496  1 Os 2.65
2 Ce 0.2113 0.7500 0.3746  1 Os 2.75
3 Ce 0.3367 0.5303 0.7633  2 Os 2.85-3.10, 1 Ce 2.88
4 Sb 0.2250 0.2500 0.4247  7 Ce 3.18-3.40
5 Os 0.3111 0.7500 0.0771  4 Ce 2.65-2.85

Most stable = version Q

Version P
Below is a relaxed CeScOs crystal, with properties calculated at the GGA-PBE level.

Properties
- total magnetic moment (μB per formula unit) = 0.56

Cell lengths 6.5984, 6.5984, 6.5984 Å; angles 90.00, 90.00, 90.00 degrees
Closest atoms and distances in Å follow each position.
Space group F-43m (No. 216)
Symmetry-distinct sites (fractional):
1 Ce 0.0000 0.0000 0.0000  4 Os 2.86
2 Sc 0.0000 0.0000 0.5000  4 Os 2.86
3 Os 0.2500 0.2500 0.7500  4 Ce 2.86, 4 Sc 2.86

Version Q
Below is a relaxed CeScOs crystal, with properties calculated at the GGA-PBE level.

Properties
- total magnetic moment (μB per formula unit) = 0.53

Cell lengths 4.4922, 4.4922, 6.6777 Å; angles 90.00, 90.00, 90.00 degrees
Closest atoms and distances in Å follow each position.
Space group P4/nmm (No. 129, origin choice 2)
Symmetry-distinct sites (fractional):
1 Ce 0.2500 0.2500 0.1225  1 Os 2.48
2 Sc 0.2500 0.7500 0.5000  4 Os 2.80
3 Os 0.2500 0.2500 0.7510  1 Ce 2.48

Most stable = version Q

Version P
Below is a relaxed CeScOs crystal, with properties calculated at the GGA-PBE level.

Properties
- total magnetic moment (μB per formula unit) = 0.31

Cell lengths 4.1772, 6.0358, 6.3255 Å; angles 71.20, 70.86, 69.81 degrees
Closest atoms and distances in Å follow each position.
Space group P-1 (No. 2)
Symmetry-distinct sites (fractional):
1 Ce 0.0783 0.1849 0.1576  3 Os 2.82-3.07
2 Sc 0.3135 0.2968 0.5764  3 Os 2.69-2.79
3 Os 0.3492 0.6431 0.1572  3 Sc 2.69-2.79, 1 Os 2.76, 2 Ce 2.82-2.83

Version Q
Below is a relaxed CeScOs crystal, with properties calculated at the GGA-PBE level.

Properties
- total magnetic moment (μB per formula unit) = 0.74

Cell lengths 3.2451, 3.2451, 12.9359 Å; angles 90.00, 90.00, 90.00 degrees
Closest atoms and distances in Å follow each position.
Space group I4mm (No. 107)
Symmetry-distinct sites (fractional):
1 Ce 0.0000 0.0000 0.0000  4 Os 2.94, 4 Ce 3.25
2 Sc 0.0000 0.0000 0.7389  4 Os 2.76
3 Os 0.0000 0.0000 0.3581  4 Sc 2.76, 4 Ce 2.94

Most stable = version P

Version P
Below is a relaxed Ce2SiOs crystal, with properties calculated at the GGA-PBE level.

Properties
- total magnetic moment (μB per formula unit) = 0.00

Cell lengths 3.2265, 3.2265, 8.0936 Å; angles 90.00, 90.00, 90.00 degrees
Closest atoms and distances in Å follow each position.
Space group P4/mmm (No. 123)
Symmetry-distinct sites (fractional):
1 Ce 0.0000 0.0000 0.2329  4 Os 2.96, 4 Si 3.14, 4 Ce 3.23
2 Si 0.5000 0.5000 0.5000  8 Ce 3.14, 4 Si 3.23
3 Os 0.5000 0.5000 0.0000  8 Ce 2.96, 4 Os 3.23

Version Q
Below is a relaxed Ce2SiOs crystal, with properties calculated at the GGA-PBE level.

Properties
- total magnetic moment (μB per formula unit) = 0.00

Cell lengths 4.3120, 4.3120, 15.4086 Å; angles 90.00, 90.00, 120.00 degrees
Closest atoms and distances in Å follow each position.
Space group R3m (No. 160, hexagonal axes)
Symmetry-distinct sites (fractional):
1 Ce 0.0000 0.0000 0.0000  3 Os 2.95, 3 Ce 3.01, 3 Si 3.07
2 Ce 0.0000 0.0000 0.2234  3 Si 2.98, 3 Ce 3.01, 4 Os 3.11-3.28
3 Si 0.0000 0.0000 0.7832  3 Os 2.50
4 Os 0.0000 0.0000 0.4361  3 Si 2.50

Version R
Below is a relaxed Ce2SiOs crystal, with properties calculated at the GGA-PBE level.

Properties
- total magnetic moment (μB per formula unit) = 0.00

Cell lengths 5.7869, 4.0194, 8.2474 Å; angles 90.00, 109.49, 90.00 degrees
Closest atoms and distances in Å follow each position.
Space group P2_1/m (No. 11)
Symmetry-distinct sites (fractional):
1 Ce 0.1992 0.2500 0.4117  2 Os 2.87, 4 Si 2.99-3.10
2 Ce 0.2790 0.7500 0.0573  4 Os 2.91-3.24, 3 Si 3.02-3.10
3 Si 0.3491 0.7500 0.7108  2 Os 2.57
4 Os 0.1275 0.2500 0.7869  2 Si 2.57, 2 Ce 2.87

Version S
Below is a relaxed Ce2SiOs crystal, with properties calculated at the GGA-PBE level.

Properties
- total magnetic moment (μB per formula unit) = 0.00

Cell lengths 3.0188, 3.0188, 30.6545 Å; angles 90.00, 90.00, 120.00 degrees
Closest atoms and distances in Å follow each position.
Space group R-3m (No. 166, hexagonal axes)
Symmetry-distinct sites (fractional):
1 Ce 0.0000 0.0000 0.0837  1 Os 2.56
2 Si 0.0000 0.0000 0.5000  6 Si 3.02, 6 Ce 3.08
3 Os 0.0000 0.0000 0.0000  2 Ce 2.56

Most stable = version Q

Version P
Below is a relaxed Ce3Si3Os crystal, with properties calculated at the GGA-PBE level.

Properties
- total magnetic moment (μB per formula unit) = 1.75

Cell lengths 4.1779, 10.8413, 12.7945 Å; angles 90.00, 90.00, 90.00 degrees
Closest atoms and distances in Å follow each position.
Space group Cmcm (No. 63)
Symmetry-distinct sites (fractional):
1 Ce 0.0000 0.0289 0.2500  7 Si 3.02-3.13, 2 Os 3.21
2 Ce 0.0000 0.2652 0.5915  6 Si 3.04-3.12, 1 Os 3.10, 2 Ce 3.16
3 Si 0.0000 0.3144 0.2500  2 Si 2.47
4 Si 0.0000 0.4480 0.0936  2 Si 2.47-2.65, 2 Os 2.47
5 Os 0.0000 0.0000 0.0000  4 Si 2.47

Version Q
Below is a relaxed Ce3Si3Os crystal, with properties calculated at the GGA-PBE level.

Properties
- total magnetic moment (μB per formula unit) = 0.00

Cell lengths 9.5772, 9.5772, 5.8849 Å; angles 90.00, 90.00, 120.00 degrees
Closest atoms and distances in Å follow each position.
Space group R3m (No. 160, hexagonal axes)
Symmetry-distinct sites (fractional):
1 Ce 0.2065 0.4129 0.0000  6 Si 2.92-3.18, 1 Os 3.01
2 Si 0.1968 0.3937 0.4957  1 Os 2.39
3 Os 0.0000 0.0000 0.6994  3 Si 2.39

Most stable = version P

Version P
Below is a relaxed Ce3Si4Os2 crystal, with properties calculated at the GGA-PBE level.

Properties
- total magnetic moment (μB per formula unit) = 0.89

Cell lengths 11.0823, 4.1693, 8.1564 Å; angles 90.00, 109.54, 90.00 degrees
Closest atoms and distances in Å follow each position.
Space group C2/m (No. 12)
Symmetry-distinct sites (fractional):
1 Ce 0.0000 0.0000 0.0000  8 Si 3.05-3.35
2 Ce 0.1114 0.5000 0.6884  7 Si 2.96-3.15, 4 Os 3.10-3.29, 1 Ce 3.24
3 Si 0.1052 0.0000 0.3964  3 Os 2.38-2.45
4 Si 0.2197 0.5000 0.0733  1 Os 2.40, 2 Si 2.60
5 Os 0.1950 0.5000 0.3548  4 Si 2.38-2.45

Version Q
Below is a relaxed Ce3Si4Os2 crystal, with properties calculated at the GGA-PBE level.

Properties
- total magnetic moment (μB per formula unit) = 0.00

Cell lengths 11.0520, 4.1357, 8.0968 Å; angles 90.00, 104.17, 90.00 degrees
Closest atoms and distances in Å follow each position.
Space group C2/m (No. 12)
Symmetry-distinct sites (fractional):
1 Ce 0.0000 0.0000 0.0000  8 Si 3.00-3.20, 4 Os 3.03
2 Ce 0.1730 0.5000 0.6520  4 Os 2.99-3.26, 8 Si 3.07-3.26
3 Si 0.0436 0.0000 0.3802  1 Si 2.37, 2 Os 2.40
4 Si 0.2283 0.5000 0.0666  1 Os 2.40, 2 Si 2.43
5 Os 0.1032 0.5000 0.2708  3 Si 2.40

Most stable = version P